The following is a DFT calculation (PBE with a Hubbard U) of an optimized crystal structure of CoCuN2F.

Cell and atoms, written as POSCAR:
```
CoCuN2F
1.0
-0.516 -2.692 2.349
-0.768 -2.235 -2.729
4.071 -1.039 -0.295
N F Cu Co
2 1 1 1
Cartesian
-0.384 -1.117 -1.365
-0.258 -1.346 1.175
2.035 -0.519 -0.148
1.393 -2.983 -0.338
0.000 0.000 0.000
```

Results
The relative energy among the computed polymorphs comes out at 0 meV/atom. Its total energy is -0.1745 hartree per atom. For the total magnetic moment, the calculation gives 3.7 μB per cell.